First-principles (PBE with a Hubbard U) data for a relaxed SrMnO2F crystal, as listed in Alexandria via LeMat-Bulk.

abc: 3.9138 3.9138 4.1905
angles: 90.00 90.00 90.00
Last column: nearest neighbours and their distance in Å.
Atoms (fractional coordinates):
Sr: 0.0000 0.0000 0.0000  4 F 2.77, 8 O 2.87
Mn: 0.5000 0.5000 0.5000  4 O 1.96, 2 F 2.10
O: 0.0000 0.5000 0.5000  2 Mn 1.96
O: 0.5000 0.0000 0.5000  2 Mn 1.96
F: 0.5000 0.5000 0.0000  2 Mn 2.10

Results
**Total DFT energy (no corrections)**: -33.1 eV for the cell shown
**Symmetry**: P4/mmm